(1)
# GGA-PBE SrAgF2, relaxed
data_SrAgF2
_chemical_formula_sum 'Sr4 Ag4 F8'
_cell_length_a 6.517
_cell_length_b 6.517
_cell_length_c 6.517
_cell_angle_alpha 90.00
_cell_angle_beta 90.00
_cell_angle_gamma 90.00
_space_group_name_H-M_alt 'F m -3 m'
_space_group_IT_number 225
_space_group_name_Hall '-F 4 2 3'
loop_
_atom_site_label
_atom_site_type_symbol
_atom_site_fract_x
_atom_site_fract_y
_atom_site_fract_z
_atom_site_occupancy
Sr1 Sr 0.000 0.000 0.000 1
Ag1 Ag 0.000 0.000 0.500 1
F1 F 0.250 0.250 0.250 1
# * uncorrected formation energy: -797 kJ/mol of formula units

---

(2)
# GGA-PBE Sr12Ag3F5, relaxed
data_Sr12Ag3F5
_chemical_formula_sum 'Sr96 Ag24 F40'
_cell_length_a 17.343
_cell_length_b 17.343
_cell_length_c 17.343
_cell_angle_alpha 90.00
_cell_angle_beta 90.00
_cell_angle_gamma 90.00
_space_group_name_H-M_alt 'I a -3 d'
_space_group_IT_number 230
_space_group_name_Hall '-I 4bd 2c 3'
loop_
_atom_site_label
_atom_site_type_symbol
_atom_site_fract_x
_atom_site_fract_y
_atom_site_fract_z
_atom_site_occupancy
Sr1 Sr 0.034 0.056 0.654 1
Ag1 Ag 0.000 0.250 0.125 1
F1 F 0.000 0.000 0.000 1
F2 F 0.000 0.250 0.375 1
# * uncorrected formation energy: -2761 kJ/mol of formula units

---

(3)
# GGA-PBE Sr3AgF, relaxed
data_Sr3AgF
_chemical_formula_sum 'Sr3 Ag1 F1'
_cell_length_a 5.363
_cell_length_b 5.363
_cell_length_c 5.363
_cell_angle_alpha 90.00
_cell_angle_beta 90.00
_cell_angle_gamma 90.00
_space_group_name_H-M_alt 'P m -3 m'
_space_group_IT_number 221
_space_group_name_Hall '-P 4 2 3'
loop_
_atom_site_label
_atom_site_type_symbol
_atom_site_fract_x
_atom_site_fract_y
_atom_site_fract_z
_atom_site_occupancy
Sr1 Sr 0.000 0.000 0.500 1
Ag1 Ag 0.500 0.500 0.500 1
F1 F 0.000 0.000 0.000 1
# * uncorrected formation energy: -500 kJ/mol of formula units

---

| no. | calculated density (g/cm3) |
| --- | --- |
| 1 | 5.60 |
| 2 | 3.74 |
| 3 | 4.20 |